No. 1
First-principles (PBE-GGA) data for crystalline CrIr2Br at its relaxed geometry, as listed in Alexandria.

a = 2.783 Å, b = 2.783 Å, c = 8.247 Å
α = 90.00°, β = 90.00°, γ = 90.00°
Positions (direct):
1 Br 0.500 0.500 0.250
2 Cr 0.500 0.500 0.750
3 Ir 0.000 0.000 0.547
4 Ir 0.000 0.000 0.953

Computed properties:
As for the energy above the most stable polymorph in this dataset: 83.1 meV/atom. Its crystal system is tetragonal. As for the total magnetization: 0.000 μB/cell. The calculation puts the total energy at -6.7624 eV per atom.

No. 2
First-principles (PBE-GGA) data for crystalline SrHgBF6 at its relaxed geometry, as listed in Alexandria.

a = 4.594 Å, b = 4.925 Å, c = 8.263 Å
α = 85.96°, β = 93.83°, γ = 56.46°
Positions (direct):
1 F 0.036 0.407 0.654
2 F 0.424 0.509 0.783
3 F 0.577 0.955 0.074
4 F 0.011 0.240 0.319
5 F 0.628 0.075 0.630
6 F 0.292 0.606 0.498
7 B 0.347 0.395 0.650
8 Sr 0.646 0.806 0.375
9 Hg 0.038 0.006 0.016

Computed properties:
Its crystal system is triclinic. As for the total magnetization: 0.000 μB/cell. The calculation puts the total energy at -4.9524 eV per atom.

No. 3
First-principles (PBE-GGA) data for crystalline SrTlPt3 at its relaxed geometry, as listed in Alexandria.

a = 5.121 Å, b = 5.121 Å, c = 5.121 Å
α = 90.00°, β = 90.00°, γ = 90.00°
Positions (direct):
1 Pt 0.000 0.500 0.000
2 Pt 0.000 0.000 0.500
3 Pt 0.500 0.000 0.000
4 Sr 0.500 0.500 0.500
5 Tl 0.000 0.000 0.000

Computed properties:
As for the energy above the most stable polymorph in this dataset: 0.0 meV/atom. Its crystal system is cubic. As for the total magnetization: 0.000 μB/cell. The calculation puts the energy of formation from the pure elements at 0.297 eV per atom. The calculation puts the total energy at -4.1366 eV per atom.

No. 4
First-principles (PBE-GGA) data for crystalline BaSr2Fe at its relaxed geometry, as listed in Alexandria.

a = 6.629 Å, b = 6.629 Å, c = 6.629 Å
α = 131.59°, β = 131.59°, γ = 70.88°
Each line ends with the local moment (μB).
Positions (direct):
1 Sr 0.500 0.500 0.000  -0.10
2 Sr 0.000 0.000 0.000  -0.10
3 Fe 0.750 0.250 0.500  3.01
4 Ba 0.250 0.750 0.500  -0.18

Computed properties:
As for the energy above the most stable polymorph in this dataset: 220.4 meV/atom. Its crystal system is tetragonal. As for the total magnetization: 1.802 μB/cell. The calculation puts the energy of formation from the pure elements at 0.647 eV per atom. The calculation puts the total energy at -2.7904 eV per atom.